DFT (GGA-PBE) results for SnIr after structural relaxation.

Values from the calculation:
The final energy is -12.45 eV for the cell shown. As for the space-group type: Fm-3m.

```
2
Lattice="-1.2966 2.0784 2.9539 -1.6049 3.4294 -0.6247 -3.7750 0.4722 0.5035" Properties=species:S:1:pos:R:3 pbc="T T T"
Ir 0.0000 0.0000 0.0000
Sn -3.3383 2.9900 1.4163
```